Below is an optimized crystal structure of InMo2O, with properties calculated at the GGA+U level.

Results
Calculated total energy (eV/atom): -5.23

Lattice parameters (Å, degrees): 6.6967 6.6967 6.5326 90.00 90.00 90.00
Last column: nearest neighbours and their distance in Å.
Space group I-42d (No. 122)
Inequivalent atoms, fractional coordinates:
In 0.0000 0.0000 0.0000 (multiplicity 4)  8 Mo 3.07-3.10, 2 O 3.27
Mo 0.1363 0.2500 0.6250 (multiplicity 8)  2 O 2.07
O 0.0000 0.0000 0.5000 (multiplicity 4)  4 Mo 2.07